(1)
Ti2V2Ga after structural relaxation, computed with GGA-PBE.

Cell: 6.8024 6.8024 3.3681 Å, 90.00 90.00 90.00°
Fractional coordinates of all 10 atoms:
Ti 0.1358 0.3642 0.0000
Ti 0.3642 0.8642 0.0000
Ti 0.6358 0.1358 0.0000
Ti 0.8642 0.6358 0.0000
V 0.1673 0.6673 0.5000
V 0.3327 0.1673 0.5000
V 0.6673 0.8327 0.5000
V 0.8327 0.3327 0.5000
Ga 0.0000 0.0000 0.0000
Ga 0.5000 0.5000 0.0000

Calculated volume ... 15.585 Å³/atom
Space-group type ... P4/mbm, No. 127
Density of states at the Fermi level ... 1.065 states/eV/atom
Formation enthalpy at 0 K ... 0.098 eV per atom



(2)
TiV2Ga3 after structural relaxation, computed with GGA-PBE.

Cell: 6.6559 6.6559 6.6559 Å, 99.30 97.34 135.29°
Fractional coordinates of all 12 atoms:
Ti 0.4990 0.2490 0.2500
Ti 0.5010 0.7510 0.7500
V 0.1642 0.7481 0.4161
V 0.1680 0.2519 0.9161
V 0.8320 0.7481 0.0839
V 0.8358 0.2519 0.5839
Ga 0.0000 0.0000 0.5000
Ga 0.0000 0.2492 0.2492
Ga 0.0000 0.5000 0.0000
Ga 0.0000 0.7508 0.7508
Ga 0.5000 0.2492 0.7492
Ga 0.5000 0.7508 0.2508

Calculated volume ... 15.985 Å³/atom
Space-group type ... Imma, No. 74
Density of states at the Fermi level ... 0.790 states/eV/atom
Formation enthalpy at 0 K ... -0.055 eV per atom



(3)
Ti5V2Ga12 after structural relaxation, computed with GGA-PBE.

Cell: 7.6634 7.6634 7.0598 Å, 99.02 99.02 52.42°
Fractional coordinates of all 19 atoms:
Ti 0.0000 0.0000 0.0000
Ti 0.2607 0.2607 0.2483
Ti 0.3364 0.3364 0.7685
Ti 0.6636 0.6636 0.2315
Ti 0.7393 0.7393 0.7517
V 0.3471 0.6529 0.5000
V 0.6529 0.3471 0.5000
Ga 0.0184 0.6326 0.4533
Ga 0.0336 0.6443 0.0750
Ga 0.0378 0.0378 0.3469
Ga 0.3557 0.9664 0.9250
Ga 0.3674 0.9816 0.5467
Ga 0.4577 0.4577 0.1453
Ga 0.5423 0.5423 0.8547
Ga 0.6326 0.0184 0.4533
Ga 0.6443 0.0336 0.0750
Ga 0.9622 0.9622 0.6531
Ga 0.9664 0.3557 0.9250
Ga 0.9816 0.3674 0.5467

Calculated volume ... 17.028 Å³/atom
Space-group type ... C2/m, No. 12
Density of states at the Fermi level ... 0.543 states/eV/atom
Formation enthalpy at 0 K ... -0.072 eV per atom



(4)
Ti6VGa after structural relaxation, computed with GGA-PBE.

Cell: 4.6058 5.7320 9.9499 Å, 90.00 90.00 90.00°
Fractional coordinates of all 16 atoms:
Ti 0.0000 0.0000 0.0000
Ti 0.0000 0.2431 0.2424
Ti 0.0000 0.2569 0.7424
Ti 0.0000 0.5000 0.5000
Ti 0.0000 0.7431 0.7424
Ti 0.0000 0.7569 0.2424
Ti 0.5000 0.0000 0.6569
Ti 0.5000 0.2446 0.4124
Ti 0.5000 0.2554 0.9124
Ti 0.5000 0.5000 0.1569
Ti 0.5000 0.7446 0.9124
Ti 0.5000 0.7554 0.4124
V 0.5000 0.0000 0.1617
V 0.5000 0.5000 0.6617
Ga 0.0000 0.0000 0.4946
Ga 0.0000 0.5000 0.9946

Calculated volume ... 16.417 Å³/atom
Space-group type ... Amm2, No. 38
Density of states at the Fermi level ... 0.952 states/eV/atom
Formation enthalpy at 0 K ... -0.090 eV per atom



(5)
TiV3Ga after structural relaxation, computed with GGA-PBE.

Cell: 4.3921 4.3921 4.3921 Å, 90.00 90.00 90.00°
Fractional coordinates of all 5 atoms:
Ti 0.0000 0.0000 0.0000
V 0.0000 0.0000 0.5000
V 0.0000 0.5000 0.0000
V 0.5000 0.0000 0.0000
Ga 0.5000 0.5000 0.5000

Calculated volume ... 16.945 Å³/atom
Space-group type ... Pm-3m, No. 221
Density of states at the Fermi level ... 1.736 states/eV/atom
Formation enthalpy at 0 K ... 1.116 eV per atom



(6)
TiV2Ga3 after structural relaxation, computed with GGA-PBE.

Cell: 3.8138 11.3846 4.0168 Å, 90.00 90.00 90.00°
Fractional coordinates of all 12 atoms:
Ti 0.0000 0.0000 0.0000
Ti 0.5000 0.5000 0.0000
V 0.0000 0.3268 0.0000
V 0.0000 0.6732 0.0000
V 0.5000 0.1732 0.0000
V 0.5000 0.8268 0.0000
Ga 0.0000 0.1679 0.5000
Ga 0.0000 0.5000 0.5000
Ga 0.0000 0.8321 0.5000
Ga 0.5000 0.0000 0.5000
Ga 0.5000 0.3321 0.5000
Ga 0.5000 0.6679 0.5000

Calculated volume ... 14.533 Å³/atom
Space-group type ... Cmmm, No. 65
Density of states at the Fermi level ... 0.532 states/eV/atom
Formation enthalpy at 0 K ... -0.290 eV per atom



(7)
Ti5VGa8 after structural relaxation, computed with GGA-PBE.

Cell: 6.6923 6.6923 6.6923 Å, 109.70 109.70 109.01°
Fractional coordinates of all 14 atoms:
Ti 0.0000 0.0000 0.0000
Ti 0.2915 0.5903 0.0789
Ti 0.4097 0.4886 0.7012
Ti 0.5114 0.2125 0.9211
Ti 0.7875 0.7085 0.2988
V 0.7500 0.2500 0.5000
Ga 0.0025 0.4076 0.2779
Ga 0.0692 0.1452 0.6944
Ga 0.1297 0.7246 0.7221
Ga 0.2754 0.9975 0.4051
Ga 0.4508 0.3748 0.3056
Ga 0.5924 0.8703 0.5949
Ga 0.6252 0.9308 0.0760
Ga 0.8548 0.5492 0.9240

Calculated volume ... 16.480 Å³/atom
Space-group type ... I-4, No. 82
Density of states at the Fermi level ... 0.681 states/eV/atom
Formation enthalpy at 0 K ... -0.207 eV per atom



(8)
Ti6VGa5 after structural relaxation, computed with GGA-PBE.

Cell: 4.6791 5.8439 6.9137 Å, 90.00 96.82 90.00°
Fractional coordinates of all 12 atoms:
Ti 0.0000 0.2471 0.0000
Ti 0.0000 0.7529 0.0000
Ti 0.3457 0.2514 0.6698
Ti 0.3457 0.7486 0.6698
Ti 0.6543 0.2514 0.3302
Ti 0.6543 0.7486 0.3302
V 0.5000 0.5000 0.0000
Ga 0.1581 0.0000 0.3395
Ga 0.1618 0.5000 0.3226
Ga 0.5000 0.0000 0.0000
Ga 0.8382 0.5000 0.6774
Ga 0.8419 0.0000 0.6605

Calculated volume ... 15.643 Å³/atom
Space-group type ... P2/m, No. 10
Density of states at the Fermi level ... 0.913 states/eV/atom
Formation enthalpy at 0 K ... -0.397 eV per atom